1.
# BaSrSb2As, optimized geometry, DFT PBE
# Total energy = -13.38 eV/cell
data_BaSrSb2As
_space_group_name_H-M_alt 'P 4/m m m'
_space_group_IT_number 123
_space_group_name_Hall '-P 4 2'
_cell_length_a 5.8724
_cell_length_b 5.8724
_cell_length_c 6.6561
_cell_angle_alpha 90.00
_cell_angle_beta 90.00
_cell_angle_gamma 90.00
loop_
_atom_site_label
_atom_site_fract_x
_atom_site_fract_y
_atom_site_fract_z
Ba1 0.0000 0.0000 0.0000
Sr1 0.0000 0.0000 0.5000
Sb1 0.0000 0.5000 0.5000
As1 0.5000 0.5000 0.0000


2.
# Ba5Sb2TeAs, optimized geometry, DFT PBE
# Total energy = -69.06 eV/cell
data_Ba5Sb2TeAs
_space_group_name_H-M_alt 'I m m m'
_space_group_IT_number 71
_space_group_name_Hall '-I 2 2'
_cell_length_a 5.7296
_cell_length_b 8.4177
_cell_length_c 17.5289
_cell_angle_alpha 90.00
_cell_angle_beta 90.00
_cell_angle_gamma 90.00
loop_
_atom_site_label
_atom_site_fract_x
_atom_site_fract_y
_atom_site_fract_z
Ba1 0.0000 0.0000 0.0000
Ba2 0.0000 0.2456 0.3583
Sb1 0.0000 0.0000 0.1968
Te1 0.0000 0.5000 0.0000
As1 0.0000 0.5000 0.5000


3.
# BaSb2TeAs, optimized geometry, DFT PBE
# Total energy = -11.99 eV/cell
data_BaSb2TeAs
_space_group_name_H-M_alt 'P 4/m m m'
_space_group_IT_number 123
_space_group_name_Hall '-P 4 2'
_cell_length_a 6.3033
_cell_length_b 6.3033
_cell_length_c 6.2486
_cell_angle_alpha 90.00
_cell_angle_beta 90.00
_cell_angle_gamma 90.00
loop_
_atom_site_label
_atom_site_fract_x
_atom_site_fract_y
_atom_site_fract_z
Ba1 0.0000 0.0000 0.0000
Sb1 0.0000 0.5000 0.0000
Te1 0.0000 0.0000 0.5000
As1 0.5000 0.5000 0.5000


4.
# BaSb2TeAs, optimized geometry, DFT PBE
# Total energy = -18.98 eV/cell
data_BaSb2TeAs
_space_group_name_H-M_alt 'P 4/m m m'
_space_group_IT_number 123
_space_group_name_Hall '-P 4 2'
_cell_length_a 5.4455
_cell_length_b 5.4455
_cell_length_c 5.7594
_cell_angle_alpha 90.00
_cell_angle_beta 90.00
_cell_angle_gamma 90.00
loop_
_atom_site_label
_atom_site_fract_x
_atom_site_fract_y
_atom_site_fract_z
Ba1 0.0000 0.0000 0.0000
Sb1 0.0000 0.5000 0.5000
Te1 0.5000 0.5000 0.0000
As1 0.5000 0.5000 0.5000


5.
# Ba2TlSbAs, optimized geometry, DFT PBE
# Total energy = -37.22 eV/cell
data_Ba2TlSbAs
_space_group_name_H-M_alt 'P 1 21/m 1'
_space_group_IT_number 11
_cell_length_a 8.6031
_cell_length_b 4.7718
_cell_length_c 10.4122
_cell_angle_alpha 90.00
_cell_angle_beta 110.76
_cell_angle_gamma 90.00
loop_
_space_group_symop_operation_xyz
'x,y,z'
'-x,-y,-z'
'-x,y+1/2,-z'
'x,-y+1/2,z'
loop_
_atom_site_label
_atom_site_fract_x
_atom_site_fract_y
_atom_site_fract_z
Ba1 0.1923 0.2500 0.4074
Ba2 0.2040 0.2500 0.9693
Tl1 0.4917 0.2500 0.8011
Sb1 0.2612 0.7500 0.6955
As1 0.1881 0.7500 0.1945


6.
# BaTlSbAs2, optimized geometry, DFT PBE
# Total energy = -13.87 eV/cell
data_BaTlSbAs2
_space_group_name_H-M_alt 'P 4/m m m'
_space_group_IT_number 123
_space_group_name_Hall '-P 4 2'
_cell_length_a 5.9267
_cell_length_b 5.9267
_cell_length_c 6.3080
_cell_angle_alpha 90.00
_cell_angle_beta 90.00
_cell_angle_gamma 90.00
loop_
_atom_site_label
_atom_site_fract_x
_atom_site_fract_y
_atom_site_fract_z
Ba1 0.0000 0.0000 0.0000
Tl1 0.5000 0.5000 0.5000
Sb1 0.0000 0.0000 0.5000
As1 0.0000 0.5000 0.0000


7.
# BaTlSbAs2, optimized geometry, DFT PBE
# Total energy = -78.42 eV/cell
data_BaTlSbAs2
_space_group_name_H-M_alt 'C 1 2/m 1'
_space_group_IT_number 12
_cell_length_a 16.4292
_cell_length_b 4.9978
_cell_length_c 9.6287
_cell_angle_alpha 90.00
_cell_angle_beta 124.12
_cell_angle_gamma 90.00
loop_
_space_group_symop_operation_xyz
'x,y,z'
'-x,-y,-z'
'-x,y,-z'
'x,-y,z'
'x+1/2,y+1/2,z'
'-x+1/2,-y+1/2,-z'
'-x+1/2,y+1/2,-z'
'x+1/2,-y+1/2,z'
loop_
_atom_site_label
_atom_site_fract_x
_atom_site_fract_y
_atom_site_fract_z
Ba1 0.2491 0.0000 0.2593
Tl1 0.0918 0.5000 0.9258
Sb1 0.0815 0.0000 0.4095
As1 0.1158 0.0000 0.7584
As2 0.1211 0.5000 0.3166


8.
# BaYSbAs2, optimized geometry, DFT PBE
# Total energy = -21.69 eV/cell
data_BaYSbAs2
_space_group_name_H-M_alt 'P 4/m m m'
_space_group_IT_number 123
_space_group_name_Hall '-P 4 2'
_cell_length_a 5.6563
_cell_length_b 5.6563
_cell_length_c 5.5315
_cell_angle_alpha 90.00
_cell_angle_beta 90.00
_cell_angle_gamma 90.00
loop_
_atom_site_label
_atom_site_fract_x
_atom_site_fract_y
_atom_site_fract_z
Ba1 0.0000 0.0000 0.0000
Y1 0.5000 0.5000 0.0000
Sb1 0.5000 0.5000 0.5000
As1 0.0000 0.5000 0.5000


9.
# BaScAs, optimized geometry, DFT PBE
# Formation energy from the elements = -674 meV/atom
data_BaScAs
_space_group_name_H-M_alt 'I 4 m m'
_space_group_IT_number 107
_space_group_name_Hall 'I 4 -2'
_cell_length_a 3.8059
_cell_length_b 3.8059
_cell_length_c 12.5091
_cell_angle_alpha 90.00
_cell_angle_beta 90.00
_cell_angle_gamma 90.00
loop_
_atom_site_label
_atom_site_fract_x
_atom_site_fract_y
_atom_site_fract_z
Ba1 0.0000 0.0000 0.0000
Sc1 0.0000 0.0000 0.2678
As1 0.0000 0.0000 0.7190


10.
# BaScAs, optimized geometry, DFT PBE
# Formation energy from the elements = -446 meV/atom
data_BaScAs
_space_group_name_H-M_alt 'F -4 3 m'
_space_group_IT_number 216
_space_group_name_Hall 'F -4 2 3'
_cell_length_a 7.2084
_cell_length_b 7.2084
_cell_length_c 7.2084
_cell_angle_alpha 90.00
_cell_angle_beta 90.00
_cell_angle_gamma 90.00
loop_
_atom_site_label
_atom_site_fract_x
_atom_site_fract_y
_atom_site_fract_z
Ba1 0.0000 0.0000 0.0000
Sc1 0.0000 0.0000 0.5000
As1 0.2500 0.2500 0.7500


11.
# Ba2ScAs2, optimized geometry, DFT PBE
# Formation energy from the elements = -870 meV/atom
data_Ba2ScAs2
_space_group_name_H-M_alt 'P 4/m b m'
_space_group_IT_number 127
_space_group_name_Hall '-P 4 2ab'
_cell_length_a 8.0827
_cell_length_b 8.0827
_cell_length_c 4.7491
_cell_angle_alpha 90.00
_cell_angle_beta 90.00
_cell_angle_gamma 90.00
loop_
_atom_site_label
_atom_site_fract_x
_atom_site_fract_y
_atom_site_fract_z
Ba1 0.1438 0.3562 0.0000
Sc1 0.0000 0.0000 0.5000
As1 0.1725 0.6725 0.5000


12.
# BaSc2As2, optimized geometry, DFT PBE
# Formation energy from the elements = -1073 meV/atom
data_BaSc2As2
_space_group_name_H-M_alt 'I 4/m m m'
_space_group_IT_number 139
_space_group_name_Hall '-I 4 2'
_cell_length_a 4.4546
_cell_length_b 4.4546
_cell_length_c 13.7118
_cell_angle_alpha 90.00
_cell_angle_beta 90.00
_cell_angle_gamma 90.00
loop_
_atom_site_label
_atom_site_fract_x
_atom_site_fract_y
_atom_site_fract_z
Ba1 0.0000 0.0000 0.0000
Sc1 0.0000 0.5000 0.2500
As1 0.0000 0.0000 0.3657


Calculated V in order - 45.907, 46.968, 49.654, 34.157, 39.968, 44.315, 32.726, 35.394, 30.199, 31.213, 31.026, 27.209 A^3/atom
Calculated density of states at the Fermi level in order - 0.9728, 0.7870, 2.2315, 0.9427, 0.6076, 1.1228, 0.2629, 0.5790, 0.9402, 1.2292, 0.1313, 0.8157 states/eV/atom